No. 1
LaPr2Tm2 PBE optimized geometry; SG = I4/mmm; calculated formation energy = 0.0920 eV per atom
1.0
-2.0945 2.0945 9.7342
2.0945 -2.0945 9.7342
2.0945 2.0945 -9.7342
La Pr Tm
1 2 2
Cartesian
0.0000 0.0000 0.0000
0.0000 0.0000 3.7914
0.0000 0.0000 15.6769
0.0000 0.0000 7.7957
0.0000 0.0000 11.6726

No. 2
Ba2InIrF PBE optimized geometry; SG = P4/mmm; formation energy (no corrections) = -0.7746 eV/atom
1.0
5.3541 0.0000 0.0000
0.0000 5.3541 0.0000
0.0000 0.0000 4.8330
Ba In Ir F
2 1 1 1
Cartesian
0.0000 2.6771 0.0000
2.6771 0.0000 0.0000
0.0000 0.0000 2.4165
2.6771 2.6771 2.4165
0.0000 0.0000 0.0000

Number 1: M_tot 0.00 μB per cell. Number 2: M_tot 0.00 μB per cell.